# 1
{"formula": "NaNdHo4S8", "functional": "PBE", "state": "optimized geometry", "e_form_raw_ev_per_atom": -1.944, "dos_at_fermi_per_ev_cell": 0.0, "lattice_angstrom": [[-7.480, -2.394, -1.879], [-4.995, -2.567, 5.803], [-6.384, 4.624, 2.170]], "species": ["Na", "Nd", "Ho", "Ho", "Ho", "Ho", "S", "S", "S", "S", "S", "S", "S", "S"], "fractional_positions": [[0.373, 0.373, 0.881], [0.004, 0.004, 0.988], [0.626, 0.626, 0.122], [0.005, 0.487, 0.504], [0.487, 0.005, 0.504], [0.005, 0.005, 0.504], [0.245, 0.782, 0.729], [0.782, 0.245, 0.729], [0.245, 0.245, 0.729], [0.238, 0.238, 0.286], [0.752, 0.230, 0.266], [0.230, 0.752, 0.266], [0.752, 0.752, 0.266], [0.758, 0.758, 0.726]]}

***

# 2
{"formula": "Na2NdHoS4", "functional": "PBE", "state": "optimized geometry", "e_form_raw_ev_per_atom": -1.817, "dos_at_fermi_per_ev_cell": 0.0, "lattice_angstrom": [[4.050, 0.000, 0.000], [0.000, 7.018, 0.120], [0.000, -2.451, 6.647]], "species": ["Na", "Na", "Nd", "Ho", "S", "S", "S", "S"], "fractional_positions": [[0.500, 0.000, 0.500], [0.000, 0.500, 0.500], [0.500, 0.500, 0.000], [0.000, 0.000, 0.000], [0.500, 0.234, 0.227], [0.500, 0.766, 0.773], [0.000, 0.247, 0.769], [0.000, 0.753, 0.231]]}

***

# 3
{"formula": "NaNd4Ho3S8", "functional": "PBE", "state": "optimized geometry", "e_form_raw_ev_per_atom": -1.953, "dos_at_fermi_per_ev_cell": 8.2, "lattice_angstrom": [[-1.065, -7.069, 3.468], [5.665, -3.165, -4.712], [1.675, 6.383, 4.425]], "species": ["Na", "Nd", "Nd", "Nd", "Nd", "Ho", "Ho", "Ho", "S", "S", "S", "S", "S", "S", "S", "S"], "fractional_positions": [[0.000, 0.500, 0.000], [0.500, 0.000, 0.000], [0.500, 0.000, 0.500], [0.000, 0.000, 0.000], [0.000, 0.000, 0.500], [0.500, 0.500, 0.000], [0.500, 0.500, 0.500], [0.000, 0.500, 0.500], [0.246, 0.734, 0.988], [0.246, 0.735, 0.493], [0.256, 0.267, 0.512], [0.742, 0.734, 0.988], [0.258, 0.266, 0.012], [0.744, 0.733, 0.488], [0.754, 0.265, 0.507], [0.754, 0.266, 0.012]]}

***

# 4
{"formula": "NaNdHo2S4", "functional": "PBE", "state": "optimized geometry", "e_form_raw_ev_per_atom": -1.921, "dos_at_fermi_per_ev_cell": 2.5, "lattice_angstrom": [[-2.796, -1.123, 2.531], [4.537, -4.165, 3.164], [3.132, 3.509, 5.017]], "species": ["Na", "Nd", "Ho", "Ho", "S", "S", "S", "S"], "fractional_positions": [[0.000, 0.500, 0.500], [0.500, 0.500, 0.000], [0.000, 0.000, 0.000], [0.500, 0.000, 0.500], [0.000, 0.763, 0.742], [0.000, 0.237, 0.258], [0.500, 0.765, 0.246], [0.500, 0.235, 0.754]]}

***

# 5
{"formula": "Na2Nd3HoS6", "functional": "PBE", "state": "optimized geometry", "e_form_raw_ev_per_atom": -1.864, "dos_at_fermi_per_ev_cell": 3.3, "lattice_angstrom": [[6.993, 0.003, 0.004], [-3.493, 6.059, 0.004], [-1.164, -2.016, 6.580]], "species": ["Na", "Na", "Nd", "Nd", "Nd", "Ho", "S", "S", "S", "S", "S", "S"], "fractional_positions": [[0.334, 0.666, 0.000], [0.666, 0.334, 0.000], [0.171, 0.829, 0.500], [0.829, 0.171, 0.500], [0.500, 0.500, 0.500], [0.000, 0.000, 0.000], [0.919, 0.595, 0.757], [0.760, 0.760, 0.249], [0.081, 0.405, 0.243], [0.595, 0.919, 0.757], [0.240, 0.240, 0.751], [0.405, 0.081, 0.243]]}

***

# 6
{"formula": "Na3Nd2HoS6", "functional": "PBE", "state": "optimized geometry", "e_form_raw_ev_per_atom": -1.810, "dos_at_fermi_per_ev_cell": 0.0, "lattice_angstrom": [[7.063, -0.001, 0.000], [-3.531, 6.117, 0.000], [-1.179, -2.041, 6.695]], "species": ["Na", "Na", "Na", "Nd", "Nd", "Ho", "S", "S", "S", "S", "S", "S"], "fractional_positions": [[0.166, 0.834, 0.500], [0.834, 0.166, 0.500], [0.500, 0.500, 0.500], [0.333, 0.667, 0.000], [0.667, 0.333, 0.000], [0.000, 0.000, 0.000], [0.923, 0.599, 0.769], [0.753, 0.753, 0.230], [0.077, 0.401, 0.231], [0.599, 0.923, 0.769], [0.247, 0.247, 0.770], [0.401, 0.077, 0.231]]}

***

# 7
{"formula": "NaNd2Ho3Se6", "functional": "PBE", "state": "optimized geometry", "e_form_raw_ev_per_atom": -1.767, "dos_at_fermi_per_ev_cell": 3.4, "lattice_angstrom": [[4.107, 0.000, 0.000], [0.000, 8.352, 0.250], [-2.053, -2.458, 8.735]], "species": ["Na", "Nd", "Nd", "Ho", "Ho", "Ho", "Se", "Se", "Se", "Se", "Se", "Se"], "fractional_positions": [[0.500, 0.000, 0.000], [0.829, 0.656, 0.658], [0.171, 0.344, 0.342], [0.500, 0.500, 0.000], [0.834, 0.172, 0.667], [0.166, 0.828, 0.333], [0.331, 0.926, 0.663], [0.661, 0.593, 0.322], [0.669, 0.074, 0.337], [0.998, 0.256, 0.996], [0.002, 0.744, 0.004], [0.339, 0.407, 0.678]]}

***

# 8
{"formula": "NaNd2HoSe4", "functional": "PBE", "state": "optimized geometry", "e_form_raw_ev_per_atom": -1.744, "dos_at_fermi_per_ev_cell": 2.8, "lattice_angstrom": [[4.158, 0.000, 0.000], [0.000, 7.239, 0.156], [0.000, -2.517, 6.804]], "species": ["Na", "Nd", "Nd", "Ho", "Se", "Se", "Se", "Se"], "fractional_positions": [[0.500, 0.500, 0.000], [0.500, 0.000, 0.500], [0.000, 0.500, 0.500], [0.000, 0.000, 0.000], [0.500, 0.243, 0.237], [0.500, 0.757, 0.763], [0.000, 0.247, 0.758], [0.000, 0.753, 0.242]]}

***

# 9
{"formula": "NaNdHo2Se4", "functional": "PBE", "state": "optimized geometry", "e_form_raw_ev_per_atom": -1.741, "dos_at_fermi_per_ev_cell": 2.6, "lattice_angstrom": [[-3.659, -1.767, 0.524], [3.002, -4.928, 4.338], [-0.201, 2.421, 6.754]], "species": ["Na", "Nd", "Ho", "Ho", "Se", "Se", "Se", "Se"], "fractional_positions": [[0.000, 0.500, 0.500], [0.500, 0.500, 0.000], [0.000, 0.000, 0.000], [0.500, 0.000, 0.500], [0.000, 0.762, 0.742], [0.000, 0.238, 0.258], [0.500, 0.762, 0.247], [0.500, 0.238, 0.753]]}

***

# 10
{"formula": "Na2NdHoSe4", "functional": "PBE", "state": "optimized geometry", "e_form_raw_ev_per_atom": -1.690, "dos_at_fermi_per_ev_cell": 0.0, "lattice_angstrom": [[4.207, 0.000, 0.000], [0.000, 7.286, 0.124], [0.000, -2.546, 6.975]], "species": ["Na", "Na", "Nd", "Ho", "Se", "Se", "Se", "Se"], "fractional_positions": [[0.500, 0.000, 0.500], [0.000, 0.500, 0.500], [0.500, 0.500, 0.000], [0.000, 0.000, 0.000], [0.500, 0.235, 0.230], [0.500, 0.765, 0.770], [0.000, 0.247, 0.766], [0.000, 0.753, 0.234]]}

***

# 11
{"formula": "NaNd3Ho2Se6", "functional": "PBE", "state": "optimized geometry", "e_form_raw_ev_per_atom": -1.764, "dos_at_fermi_per_ev_cell": 5.0, "lattice_angstrom": [[-0.567, 6.490, -2.997], [1.562, -5.706, -4.052], [-7.042, -1.341, 1.293]], "species": ["Na", "Nd", "Nd", "Nd", "Ho", "Ho", "Se", "Se", "Se", "Se", "Se", "Se"], "fractional_positions": [[0.000, 0.000, 0.000], [0.162, 0.838, 0.500], [0.838, 0.162, 0.500], [0.500, 0.500, 0.500], [0.334, 0.666, 0.000], [0.666, 0.334, 0.000], [0.921, 0.584, 0.762], [0.742, 0.742, 0.232], [0.079, 0.416, 0.238], [0.584, 0.921, 0.762], [0.258, 0.258, 0.768], [0.416, 0.079, 0.238]]}

***

# 12
{"formula": "Na4NdHo3Se8", "functional": "PBE", "state": "optimized geometry", "e_form_raw_ev_per_atom": -1.697, "dos_at_fermi_per_ev_cell": 0.0, "lattice_angstrom": [[8.338, 0.000, 0.000], [0.000, 8.506, 0.110], [-4.169, -4.165, 5.899]], "species": ["Na", "Na", "Na", "Na", "Nd", "Ho", "Ho", "Ho", "Se", "Se", "Se", "Se", "Se", "Se", "Se", "Se"], "fractional_positions": [[0.500, 0.000, 0.000], [0.500, 0.000, 0.500], [0.000, 0.000, 0.000], [0.000, 0.000, 0.500], [0.000, 0.500, 0.000], [0.500, 0.500, 0.000], [0.500, 0.500, 0.500], [0.000, 0.500, 0.500], [0.248, 0.731, 0.984], [0.248, 0.731, 0.496], [0.257, 0.273, 0.515], [0.736, 0.731, 0.984], [0.264, 0.269, 0.016], [0.743, 0.727, 0.485], [0.752, 0.269, 0.504], [0.752, 0.269, 0.016]]}

***

# 13
{"formula": "Na3Nd2HoSe6", "functional": "PBE", "state": "optimized geometry", "e_form_raw_ev_per_atom": -1.689, "dos_at_fermi_per_ev_cell": 0.0, "lattice_angstrom": [[7.332, -0.001, 0.000], [-3.665, 6.350, 0.000], [-1.224, -2.119, 7.017]], "species": ["Na", "Na", "Na", "Nd", "Nd", "Ho", "Se", "Se", "Se", "Se", "Se", "Se"], "fractional_positions": [[0.168, 0.832, 0.500], [0.832, 0.168, 0.500], [0.500, 0.500, 0.500], [0.334, 0.666, 0.000], [0.666, 0.334, 0.000], [0.000, 0.000, 0.000], [0.922, 0.598, 0.766], [0.753, 0.753, 0.233], [0.078, 0.402, 0.234], [0.598, 0.922, 0.766], [0.247, 0.247, 0.767], [0.402, 0.078, 0.234]]}

***

# 14
{"formula": "NaNd2HoTe4", "functional": "PBE", "state": "optimized geometry", "e_form_raw_ev_per_atom": -1.347, "dos_at_fermi_per_ev_cell": 3.3, "lattice_angstrom": [[4.426, 0.000, 0.000], [0.000, 7.725, 0.180], [0.000, -2.685, 7.273]], "species": ["Na", "Nd", "Nd", "Ho", "Te", "Te", "Te", "Te"], "fractional_positions": [[0.000, 0.000, 0.000], [0.500, 0.000, 0.500], [0.000, 0.500, 0.500], [0.500, 0.500, 0.000], [0.500, 0.251, 0.242], [0.500, 0.749, 0.758], [0.000, 0.256, 0.762], [0.000, 0.744, 0.238]]}

***

# 15
{"formula": "Na3NdHo2Te6", "functional": "PBE", "state": "optimized geometry", "e_form_raw_ev_per_atom": -1.315, "lattice_angstrom": [[7.723, -0.001, -0.001], [-3.861, 6.689, -0.001], [-1.289, -2.231, 7.569]], "species": ["Na", "Na", "Na", "Nd", "Ho", "Ho", "Te", "Te", "Te", "Te", "Te", "Te"], "fractional_positions": [[0.164, 0.836, 0.500], [0.836, 0.164, 0.500], [0.500, 0.500, 0.500], [0.000, 0.000, 0.000], [0.333, 0.667, 0.000], [0.667, 0.333, 0.000], [0.922, 0.580, 0.766], [0.736, 0.736, 0.233], [0.078, 0.420, 0.234], [0.580, 0.922, 0.766], [0.264, 0.264, 0.767], [0.420, 0.078, 0.234]]}

***

# 16
{"formula": "Na4NdHo3Te8", "functional": "PBE", "state": "optimized geometry", "e_form_raw_ev_per_atom": -1.312, "lattice_angstrom": [[-3.857, -0.113, 8.016], [6.415, -5.788, 3.005], [2.500, 7.730, -3.624]], "species": ["Na", "Na", "Na", "Na", "Nd", "Ho", "Ho", "Ho", "Te", "Te", "Te", "Te", "Te", "Te", "Te", "Te"], "fractional_positions": [[0.500, 0.000, 0.000], [0.500, 0.000, 0.500], [0.000, 0.000, 0.000], [0.000, 0.000, 0.500], [0.000, 0.500, 0.000], [0.500, 0.500, 0.000], [0.500, 0.500, 0.500], [0.000, 0.500, 0.500], [0.249, 0.734, 0.986], [0.248, 0.734, 0.497], [0.257, 0.270, 0.513], [0.737, 0.734, 0.986], [0.263, 0.266, 0.014], [0.743, 0.730, 0.487], [0.752, 0.266, 0.503], [0.751, 0.266, 0.014]]}

***

# 17
{"formula": "NaNd3Ho2Te6", "functional": "PBE", "state": "optimized geometry", "e_form_raw_ev_per_atom": -1.347, "dos_at_fermi_per_ev_cell": 4.4, "lattice_angstrom": [[-3.660, -1.632, -1.858], [-3.699, -0.911, 8.090], [-0.775, 9.772, -1.806]], "species": ["Na", "Nd", "Nd", "Nd", "Ho", "Ho", "Te", "Te", "Te", "Te", "Te", "Te"], "fractional_positions": [[0.500, 0.000, 0.000], [0.500, 0.500, 0.000], [0.840, 0.178, 0.680], [0.160, 0.822, 0.320], [0.834, 0.662, 0.669], [0.166, 0.338, 0.331], [0.331, 0.909, 0.663], [0.670, 0.576, 0.339], [0.669, 0.091, 0.337], [0.006, 0.246, 0.011], [0.994, 0.754, 0.989], [0.330, 0.424, 0.661]]}

***

# 18
{"formula": "NaNdHoTl", "functional": "PBE", "state": "optimized geometry", "dft_energy_ev_per_atom": -3.324, "dos_at_fermi_per_ev_cell": 5.0, "lattice_angstrom": [[-0.050, -2.670, -4.781], [4.206, 0.517, -3.469], [3.405, -4.210, -0.821]], "species": ["Na", "Tl", "Nd", "Ho"], "fractional_positions": [[0.000, 0.000, 0.000], [0.500, 0.500, 0.500], [0.250, 0.250, 0.250], [0.750, 0.750, 0.750]]}

***

# 19
{"formula": "NaHo2Ni", "functional": "PBE", "state": "optimized geometry", "dft_energy_ev_per_atom": -4.092, "dos_at_fermi_per_ev_cell": 1.7, "lattice_angstrom": [[3.882, 0.000, 0.000], [1.941, 3.362, 0.000], [1.941, 1.121, 10.175]], "species": ["Ni", "Ho", "Ho", "Na"], "fractional_positions": [[0.500, 0.500, 0.500], [0.120, 0.120, 0.640], [0.880, 0.880, 0.360], [0.000, 0.000, 0.000]]}

***

# 20
{"formula": "NaHoNi4", "functional": "PBE", "state": "optimized geometry", "dft_energy_ev_per_atom": -5.013, "dos_at_fermi_per_ev_cell": 6.0, "lattice_angstrom": [[4.978, 0.000, 0.000], [2.489, 4.311, 0.000], [2.489, 1.437, 4.064]], "species": ["Ni", "Ni", "Ni", "Ni", "Ho", "Na"], "fractional_positions": [[0.625, 0.625, 0.125], [0.625, 0.125, 0.625], [0.625, 0.625, 0.625], [0.125, 0.625, 0.625], [0.250, 0.250, 0.250], [0.000, 0.000, 0.000]]}

***

# 21
{"formula": "NaHo2Ni", "functional": "PBE", "state": "optimized geometry", "dft_energy_ev_per_atom": -4.179, "dos_at_fermi_per_ev_cell": 2.8, "lattice_angstrom": [[3.356, 0.000, 0.000], [0.000, 3.356, 0.000], [0.000, 0.000, 9.488]], "species": ["Ni", "Ho", "Ho", "Na"], "fractional_positions": [[0.500, 0.500, 0.000], [0.000, 0.000, 0.831], [0.000, 0.000, 0.169], [0.500, 0.500, 0.500]]}